No. 1
# Li6InGa12 | the Alexandria database | GGA-PBE | relaxed
data_Li6InGa12
_chemical_formula_sum 'Li18 In3 Ga36'
_space_group_name_H-M_alt 'R -3'
_space_group_IT_number 148
_space_group_name_Hall '-R 3'
_cell_length_a 9.9646
_cell_length_b 9.9646
_cell_length_c 11.8211
_cell_angle_alpha 90.00
_cell_angle_beta 90.00
_cell_angle_gamma 120.00
loop_
_atom_site_label
_atom_site_type_symbol
_atom_site_fract_x
_atom_site_fract_y
_atom_site_fract_z
_atom_site_occupancy
Li1 Li 0.0198 0.5899 0.2063 1
In1 In 0.0000 0.0000 0.5000 1
Ga1 Ga 0.0376 0.8484 0.3066 1
Ga2 Ga 0.0549 0.1987 0.9109 1
# **E**: -0.2066 Ry per atom

=====

No. 2
# Li2InGa | the Alexandria database | GGA-PBE | relaxed
data_Li2InGa
_chemical_formula_sum 'Li2 In1 Ga1'
_space_group_name_H-M_alt 'P 4/m m m'
_space_group_IT_number 123
_space_group_name_Hall '-P 4 2'
_cell_length_a 3.118
_cell_length_b 3.118
_cell_length_c 7.362
_cell_angle_alpha 90.00
_cell_angle_beta 90.00
_cell_angle_gamma 90.00
loop_
_atom_site_label
_atom_site_type_symbol
_atom_site_fract_x
_atom_site_fract_y
_atom_site_fract_z
_atom_site_occupancy
Li1 Li 0.000 0.000 0.234 1
In1 In 0.500 0.500 0.500 1
Ga1 Ga 0.500 0.500 0.000 1
# **E**: -0.1951 Ry per atom

=====

No. 3
# LiIn2Ga | the Alexandria database | GGA-PBE | relaxed
data_LiIn2Ga
_chemical_formula_sum 'Li1 In2 Ga1'
_space_group_name_H-M_alt 'P 4/m m m'
_space_group_IT_number 123
_space_group_name_Hall '-P 4 2'
_cell_length_a 4.573
_cell_length_b 4.573
_cell_length_c 4.126
_cell_angle_alpha 90.00
_cell_angle_beta 90.00
_cell_angle_gamma 90.00
loop_
_atom_site_label
_atom_site_type_symbol
_atom_site_fract_x
_atom_site_fract_y
_atom_site_fract_z
_atom_site_occupancy
Li1 Li 0.000 0.000 0.000 1
In1 In 0.000 0.500 0.500 1
Ga1 Ga 0.500 0.500 0.000 1
# **E**: -0.2004 Ry per atom

=====

No. 4
# Li4In4Ga3 | the Alexandria database | GGA-PBE | relaxed
data_Li4In4Ga3
_chemical_formula_sum 'Li8 In8 Ga6'
_space_group_name_H-M_alt 'I m m m'
_space_group_IT_number 71
_space_group_name_Hall '-I 2 2'
_cell_length_a 3.091
_cell_length_b 8.173
_cell_length_c 17.998
_cell_angle_alpha 90.00
_cell_angle_beta 90.00
_cell_angle_gamma 90.00
loop_
_atom_site_label
_atom_site_type_symbol
_atom_site_fract_x
_atom_site_fract_y
_atom_site_fract_z
_atom_site_occupancy
Li1 Li 0.000 0.000 0.239 1
Li2 Li 0.000 0.184 0.000 1
In1 In 0.000 0.307 0.148 1
Ga1 Ga 0.000 0.000 0.500 1
Ga2 Ga 0.000 0.500 0.396 1
# **E**: -0.1938 Ry per atom

=====

No. 5
# LiIn14Ga | the Alexandria database | GGA-PBE | relaxed
data_LiIn14Ga
_chemical_formula_sum 'Li2 In28 Ga2'
_space_group_name_H-M_alt 'C m m m'
_space_group_IT_number 65
_space_group_name_Hall '-C 2 2'
_cell_length_a 9.939
_cell_length_b 9.987
_cell_length_c 8.477
_cell_angle_alpha 90.00
_cell_angle_beta 90.00
_cell_angle_gamma 90.00
loop_
_atom_site_label
_atom_site_type_symbol
_atom_site_fract_x
_atom_site_fract_y
_atom_site_fract_z
_atom_site_occupancy
Li1 Li 0.000 0.000 0.000 1
In1 In 0.000 0.000 0.500 1
In2 In 0.000 0.250 0.240 1
In3 In 0.000 0.500 0.500 1
In4 In 0.250 0.000 0.239 1
In5 In 0.250 0.250 0.000 1
In6 In 0.250 0.250 0.500 1
Ga1 Ga 0.000 0.500 0.000 1
# **E**: -0.1991 Ry per atom

=====

No. 6
# LiIn3Ga2 | the Alexandria database | GGA-PBE | relaxed
data_LiIn3Ga2
_chemical_formula_sum 'Li4 In12 Ga8'
_space_group_name_H-M_alt 'C 1 2/m 1'
_space_group_IT_number 12
_cell_length_a 15.971
_cell_length_b 4.363
_cell_length_c 8.899
_cell_angle_alpha 90.00
_cell_angle_beta 120.19
_cell_angle_gamma 90.00
loop_
_space_group_symop_operation_xyz
'x,y,z'
'-x,-y,-z'
'-x,y,-z'
'x,-y,z'
'x+1/2,y+1/2,z'
'-x+1/2,-y+1/2,-z'
'-x+1/2,y+1/2,-z'
'x+1/2,-y+1/2,z'
loop_
_atom_site_label
_atom_site_type_symbol
_atom_site_fract_x
_atom_site_fract_y
_atom_site_fract_z
_atom_site_occupancy
Li1 Li 0.090 0.000 0.198 1
In1 In 0.082 0.500 0.447 1
In2 In 0.083 0.000 0.747 1
In3 In 0.249 0.000 0.643 1
Ga1 Ga 0.081 0.500 0.977 1
Ga2 Ga 0.247 0.500 0.887 1
# **E**: -0.2027 Ry per atom

=====

In states/eV/f.u., the N(E_F) values for the records above are, in order, 5.27 1.25 2.34 3.62 9.29 2.04.